A plane-wave DFT calculation with PBE was carried out for a relaxed Pm4Ge2Cl crystal.

abc: 7.8043 7.8043 7.8043
angles: 110.83 110.83 106.78
Fractional positions:
Pm  0.0083  0.7432  0.1165
Pm  0.1082  0.9917  0.7349
Pm  0.1233  0.5068  0.7651
Pm  0.2568  0.3733  0.2651
Pm  0.4932  0.2583  0.6165
Pm  0.6267  0.8918  0.8835
Pm  0.6418  0.8767  0.3835
Pm  0.7417  0.3582  0.2349
Ge  0.3750  0.0020  0.1270
Ge  0.7520  0.6250  0.6270
Ge  0.8750  0.2480  0.8730
Ge  0.9980  0.1250  0.3730
Cl  0.2500  0.7500  0.5000
Cl  0.5000  0.5000  0.0000

- Distance to the lowest polymorph of the same formula: 0 meV/atom
- Magnetization: 0.00 μB per formula unit
- Uncorrected formation energy: -942 meV per atom
- Calculated density: 6.92 g/cm³